The following is a DFT calculation (PBE) of BeSiAu after structural relaxation.

abc: 4.036 4.036 4.036
angles: 60.00 60.00 60.00
Fractional positions:
Au1 0.250 0.250 0.250
Si1 0.000 0.000 0.000
Be1 0.750 0.750 0.750

Calculated values
**E_tot**: -3.96 eV/atom

=====

The following is a DFT calculation (PBE) of RbPr2CuTeS3 after structural relaxation.

abc: 7.604 7.604 14.511
angles: 90.00 90.00 147.79
Fractional positions:
S1 0.751 0.249 0.389
S2 0.500 0.500 0.500
S3 0.500 0.500 0.000
Rb1 0.633 0.367 0.750
Pr1 0.867 0.133 0.550
Cu1 0.664 0.336 0.250
Pr2 0.133 0.867 0.050
S4 0.249 0.751 0.611
Pr3 0.867 0.133 0.950
Rb2 0.367 0.633 0.250
S5 0.751 0.249 0.111
Cu2 0.336 0.664 0.750
S6 0.249 0.751 0.889
Te1 0.056 0.944 0.250
Te2 0.944 0.056 0.750
Pr4 0.133 0.867 0.450

Calculated values
**Relative energy among the computed polymorphs**: 0.0196 eV per atom
**E_tot**: -5.21 eV/atom

=====

The following is a DFT calculation (PBE) of YCuSbPd after structural relaxation.

abc: 4.788 4.788 4.788
angles: 60.00 60.00 60.00
Fractional positions:
Y1 0.500 0.500 0.500
Sb1 0.000 0.000 0.000
Cu1 0.750 0.750 0.750
Pd1 0.250 0.250 0.250

Calculated values
**Relative energy among the computed polymorphs**: 0.0000 eV per atom
**E_tot**: -5.46 eV/atom